The following is a DFT calculation (PBE) of a geometry-optimized Na4Np3InN8 structure.

Cell: 6.838 6.933 6.839 Å, 119.56 119.99 90.00°
Last column: magnetic moment on the atom in μB.
Fractional coordinates of all 16 atoms:
1 Na 0.500 0.000 0.500  0.00
2 Na 0.000 0.000 0.000  0.00
3 Na 0.500 0.000 0.000  0.00
4 Na 0.000 0.000 0.500  0.00
5 Np 0.500 0.500 0.500  1.60
6 Np 0.500 0.500 0.000  1.61
7 Np 0.000 0.500 0.500  1.60
8 N 0.243 0.692 0.486  -0.09
9 N 0.757 0.308 0.051  -0.09
10 N 0.273 0.318 0.545  -0.10
11 N 0.757 0.308 0.514  -0.09
12 N 0.294 0.308 0.051  -0.09
13 N 0.243 0.692 0.949  -0.09
14 N 0.706 0.692 0.949  -0.09
15 N 0.727 0.682 0.455  -0.10
16 In 0.000 0.500 0.000  0.00

Results
As for the crystal system: trigonal. The value obtained for the size of the total moment is 4.00 μB/f.u. For the density of states at the Fermi level, the calculation gives 9.74 states/eV/f.u. As for the formation energy from raw total energies: -0.62 eV/atom.